No. 1
Entry from Alexandria via LeMat-Bulk: FeCoP2 after structural relaxation (PBE).

abc: 4.9636 4.9636 4.9636
angles: 146.76 135.65 56.53
Site moments in Bohr magnetons follow the coordinates.
Positions (direct):
P 0.7344 0.2344 0.5000  0.00
P 0.0171 0.0171 0.0000  -0.01
Fe 0.2252 0.7252 0.5000  0.27
Co 0.5233 0.5233 0.0000  -0.04

---

No. 2
Entry from Alexandria via LeMat-Bulk: FeCoP after structural relaxation (PBE).

abc: 3.6662 3.6662 3.6662
angles: 60.00 60.00 60.00
Site moments in Bohr magnetons follow the coordinates.
Positions (direct):
Fe 0.5000 0.5000 0.5000  0.98
P 0.7500 0.7500 0.7500  -0.04
Co 0.0000 0.0000 0.0000  0.07

---

No. 3
Entry from Alexandria via LeMat-Bulk: FeCoP2 after structural relaxation (PBE).

abc: 3.7879 3.7879 4.6916
angles: 78.08 78.08 42.31
Site moments in Bohr magnetons follow the coordinates.
Positions (direct):
P 0.0019 0.0019 0.9932  0.00
P 0.4981 0.4981 0.5068  0.00
Co 0.2500 0.2500 0.2500  0.19
Fe 0.7500 0.7500 0.7500  0.42

---

No. 4
Entry from Alexandria via LeMat-Bulk: FeCoP2 after structural relaxation (PBE).

abc: 3.1111 3.1111 4.6280
angles: 90.00 90.00 90.00
Site moments in Bohr magnetons follow the coordinates.
Positions (direct):
P 0.5000 0.5000 0.3023  -0.01
P 0.0000 0.0000 0.9547  -0.01
Fe 0.5000 0.5000 0.7997  1.02
Co 0.0000 0.0000 0.4433  -0.13

---

No. 5
Entry from Alexandria via LeMat-Bulk: FeCoP2 after structural relaxation (PBE).

abc: 4.1418 4.1418 4.0138
angles: 77.33 77.33 41.76
Site moments in Bohr magnetons follow the coordinates.
Positions (direct):
P 0.2443 0.2443 0.3203  0.00
P 0.0077 0.0077 0.9143  0.00
Co 0.5158 0.5158 0.4335  0.00
Fe 0.7322 0.7322 0.8319  0.64

---

No. 6
Entry from Alexandria via LeMat-Bulk: FeCoP2 after structural relaxation (PBE).

abc: 7.0455 7.0455 7.0455
angles: 22.29 22.29 22.29
Positions (direct):
Fe 0.7500 0.7500 0.7500
P 0.0010 0.0010 0.0010
P 0.4990 0.4990 0.4990
Co 0.2500 0.2500 0.2500

---

No. 7
Entry from Alexandria via LeMat-Bulk: FeCoP2 after structural relaxation (PBE).

abc: 2.7079 2.7079 7.0848
angles: 90.00 90.00 90.00
Site moments in Bohr magnetons follow the coordinates.
Positions (direct):
Fe 0.5000 0.5000 0.7491  0.27
P 0.5000 0.5000 0.3267  -0.01
P 0.0000 0.0000 0.9216  -0.01
Co 0.0000 0.0000 0.5026  0.64

---

No. 8
Entry from Alexandria via LeMat-Bulk: FeCoP2 after structural relaxation (PBE).

abc: 4.9823 4.9823 6.0676
angles: 65.76 65.76 90.00
Positions (direct):
Fe 0.5000 0.5000 0.0000
Fe 0.2500 0.7500 0.5000
P 0.6242 0.1250 0.2500
P 0.8750 0.8742 0.7500
P 0.1258 0.6250 0.2500
P 0.3750 0.3758 0.7500
Co 0.7500 0.2500 0.5000
Co 0.0000 0.0000 0.0000

---

No. 9
Entry from Alexandria via LeMat-Bulk: FeCoP2 after structural relaxation (PBE).

abc: 9.5609 9.5609 9.5609
angles: 16.10 16.10 16.10
Site moments in Bohr magnetons follow the coordinates.
Positions (direct):
P 0.2188 0.2188 0.2188  -0.02
P 0.0304 0.0304 0.0304  -0.08
Fe 0.7555 0.7555 0.7555  1.41
Co 0.4952 0.4952 0.4952  0.56

---

No. 10
Entry from Alexandria via LeMat-Bulk: Fe2CoP8 after structural relaxation (PBE).

abc: 4.0764 6.6281 6.6282
angles: 60.10 91.42 91.42
Positions (direct):
P 0.5356 0.4029 0.4029
P 0.3647 0.1475 0.1474
P 0.2067 0.6625 0.0704
P 0.2067 0.0703 0.6625
P 0.7933 0.9297 0.3375
P 0.4644 0.5971 0.5971
P 0.7933 0.3375 0.9296
P 0.6353 0.8525 0.8526
Fe 0.0364 0.2965 0.2965
Fe 0.9636 0.7035 0.7035
Co 0.0000 0.0000 0.0000

---

No. 11
Entry from Alexandria via LeMat-Bulk: FeCoP after structural relaxation (PBE).

abc: 3.5202 5.6883 6.5180
angles: 90.00 90.00 90.00
Site moments in Bohr magnetons follow the coordinates.
Positions (direct):
Co 0.7500 0.3600 0.4332  0.34
Co 0.2500 0.6400 0.5668  0.34
Co 0.7500 0.8600 0.0668  0.34
Co 0.2500 0.1400 0.9332  0.34
Fe 0.2500 0.0321 0.3371  1.80
Fe 0.2500 0.5321 0.1629  1.80
Fe 0.7500 0.9679 0.6629  1.80
Fe 0.7500 0.4679 0.8371  1.80
P 0.2500 0.7564 0.8799  -0.04
P 0.2500 0.2564 0.6201  -0.04
P 0.7500 0.2436 0.1201  -0.04
P 0.7500 0.7436 0.3799  -0.04

---

No. 12
Entry from Alexandria via LeMat-Bulk: FeCoP after structural relaxation (PBE).

abc: 3.7819 3.7819 2.6782
angles: 90.00 90.00 120.00
Site moments in Bohr magnetons follow the coordinates.
Positions (direct):
P 0.3333 0.6667 0.8276  -0.03
Fe 0.6667 0.3333 0.3360  2.17
Co 0.0000 0.0000 0.8364  0.63

---

No. 13
Entry from Alexandria via LeMat-Bulk: Pa2FeCo4P3 after structural relaxation (PBE).

abc: 3.8738 3.8738 9.3855
angles: 90.00 90.00 90.00
Site moments in Bohr magnetons follow the coordinates.
Positions (direct):
P 0.5000 0.0000 0.8705  0.03
P 0.0000 0.0000 0.5000  0.03
P 0.0000 0.5000 0.1295  0.03
Co 0.0000 0.0000 0.0000  0.82
Co 0.5000 0.5000 0.0000  0.76
Co 0.5000 0.0000 0.6324  0.55
Co 0.0000 0.5000 0.3676  0.55
Pa 0.5000 0.0000 0.2477  -0.08
Pa 0.0000 0.5000 0.7523  -0.08
Fe 0.5000 0.5000 0.5000  2.44

---

No. 14
Entry from Alexandria via LeMat-Bulk: Pa2FeCo3P4 after structural relaxation (PBE).

abc: 3.9842 3.9842 8.8415
angles: 90.00 90.00 90.00
Site moments in Bohr magnetons follow the coordinates.
Positions (direct):
Pa 0.0000 0.5000 0.7468  -0.12
Pa 0.5000 0.0000 0.2532  -0.12
Co 0.5000 0.0000 0.8879  -0.02
Co 0.0000 0.5000 0.1121  -0.02
Co 0.0000 0.0000 0.5000  0.61
P 0.5000 0.5000 0.0000  0.00
P 0.0000 0.0000 0.0000  0.00
P 0.0000 0.5000 0.3681  0.01
P 0.5000 0.0000 0.6319  0.01
Fe 0.5000 0.5000 0.5000  0.99

---

No. 15
Entry from Alexandria via LeMat-Bulk: PaFeCoP2 after structural relaxation (PBE).

abc: 3.8789 3.8789 5.4033
angles: 111.03 111.03 90.00
Site moments in Bohr magnetons follow the coordinates.
Positions (direct):
Pa 0.0000 0.0000 0.0000  -0.16
P 0.3726 0.3726 0.7451  0.01
P 0.6274 0.6274 0.2549  0.01
Fe 0.7500 0.2500 0.5000  0.91
Co 0.2500 0.7500 0.5000  0.53

---

No. 16
Entry from Alexandria via LeMat-Bulk: Pm2FeCo3P4 after structural relaxation (PBE).

abc: 3.9557 3.9557 9.2072
angles: 90.00 90.00 90.00
Positions (direct):
P 0.5000 0.0000 0.6315
P 0.0000 0.0000 0.0000
P 0.0000 0.5000 0.3685
P 0.5000 0.5000 0.0000
Pm 0.5000 0.0000 0.2428
Pm 0.0000 0.5000 0.7572
Fe 0.5000 0.5000 0.5000
Co 0.0000 0.5000 0.1125
Co 0.5000 0.0000 0.8875
Co 0.0000 0.0000 0.5000

---

No. 17
Entry from Alexandria via LeMat-Bulk: PmFeCoP2 after structural relaxation (PBE).

abc: 3.8396 3.8396 5.6408
angles: 109.90 109.90 90.00
Site moments in Bohr magnetons follow the coordinates.
Positions (direct):
P 0.6350 0.6350 0.2700  0.00
P 0.3650 0.3650 0.7300  0.00
Fe 0.7500 0.2500 0.5000  0.38
Co 0.2500 0.7500 0.5000  0.17
Pm 0.0000 0.0000 0.0000  0.01

---

No. 18
Entry from Alexandria via LeMat-Bulk: PrFeCoP2 after structural relaxation (PBE).

abc: 3.7471 3.7471 6.1568
angles: 107.72 107.72 90.00
Positions (direct):
P 0.3549 0.3549 0.7098
P 0.6451 0.6451 0.2902
Co 0.2500 0.7500 0.5000
Pr 0.0000 0.0000 0.0000
Fe 0.7500 0.2500 0.5000

---

No. 19
Entry from Alexandria via LeMat-Bulk: SmFeCoP2 after structural relaxation (PBE).

abc: 3.8375 3.8375 5.5921
angles: 110.07 110.07 90.00
Site moments in Bohr magnetons follow the coordinates.
Positions (direct):
Fe 0.7500 0.2500 0.5000  0.34
Co 0.2500 0.7500 0.5000  0.15
Sm 0.0000 0.0000 0.0000  0.01
P 0.6330 0.6330 0.2659  0.00
P 0.3670 0.3670 0.7341  0.00

---

No. 20
Entry from Alexandria via LeMat-Bulk: TbFeCoP2 after structural relaxation (PBE).

abc: 3.7971 3.7971 5.4913
angles: 110.23 110.23 90.00
Positions (direct):
Fe 0.2500 0.7500 0.5000
P 0.6272 0.6272 0.2545
P 0.3728 0.3728 0.7455
Co 0.7500 0.2500 0.5000
Tb 0.0000 0.0000 0.0000

---

no.,calculated formation energy (eV per atom),uncorrected energy (eV/atom)
1,-0.07,-6.665
2,-0.44,-7.437
3,-0.23,-6.822
4,-0.39,-6.982
5,-0.29,-6.883
6,-0.23,-6.831
7,-0.06,-6.656
8,-0.12,-6.719
9,0.05,-6.543
10,-0.13,-6.250
11,-0.55,-7.540
12,-0.26,-7.248
13,-0.87,-8.078
14,-1.01,-8.053
15,-0.94,-8.113
16,-0.96,-7.054
17,-0.97,-7.193
18,-0.97,-7.200
19,-0.97,-7.192
20,-1.00,-7.205